Crystalline Pr5Au3 at its relaxed geometry, computed with PBE-GGA.

a = 7.666 Å, b = 7.666 Å, c = 9.640 Å
α = 113.43°, β = 113.43°, γ = 90.00°
Positions (direct):
Pr 0.000 0.000 0.000
Pr 0.500 0.500 0.000
Pr 0.514 0.014 0.697
Pr 0.183 0.683 0.697
Pr 0.683 0.514 0.697
Pr 0.014 0.183 0.697
Pr 0.486 0.986 0.303
Pr 0.817 0.317 0.303
Pr 0.317 0.486 0.303
Pr 0.986 0.817 0.303
Au 0.750 0.750 0.500
Au 0.250 0.250 0.500
Au 0.132 0.632 0.000
Au 0.868 0.368 0.000
Au 0.368 0.132 0.000
Au 0.632 0.868 0.000

Calculated values
- total moment (μB/cell) = 0.00
- DOS(E_F) (states/eV/f.u.) = 12.534
- formation enthalpy at 0 K (eV per atom) = -0.5444